Entry 1:
The following is a PBE+U calculation of an optimized crystal structure of MgV6H6O18, from the Alexandria database.

Unit cell a=5.212 b=8.944 c=8.527 alpha=90.00 beta=105.37 gamma=90.00
Fractional coordinates of all 31 atoms:
Mg 0.000 0.000 0.000
V 0.184 0.500 0.745
V 0.417 0.206 0.528
V 0.417 0.794 0.528
V 0.750 0.307 0.864
V 0.750 0.693 0.864
V 0.955 0.000 0.625
H 0.498 0.086 0.094
H 0.498 0.914 0.094
H 0.508 0.000 0.338
H 0.592 0.408 0.288
H 0.592 0.592 0.288
H 0.653 0.500 0.123
O 0.078 0.350 0.889
O 0.078 0.650 0.889
O 0.092 0.145 0.498
O 0.092 0.855 0.498
O 0.167 0.000 0.813
O 0.407 0.000 0.132
O 0.423 0.347 0.693
O 0.423 0.653 0.693
O 0.443 0.294 0.362
O 0.443 0.706 0.362
O 0.543 0.000 0.459
O 0.651 0.500 0.940
O 0.675 0.500 0.247
O 0.735 0.162 0.694
O 0.735 0.838 0.694
O 0.757 0.176 0.014
O 0.757 0.824 0.014
O 0.920 0.500 0.592

Values from the calculation:
Polymorph energy (0 for the lowest one), eV per atom: 0.0045
Total moment, μB/f.u.: 2.00

=====

Entry 2:
The following is a PBE+U calculation of an optimized crystal structure of MgV6H6O18, from the Alexandria database.

Unit cell a=5.281 b=8.011 c=9.467 alpha=90.24 beta=90.82 gamma=108.54
Fractional coordinates of all 31 atoms:
Mg 0.000 0.000 0.000
V 0.001 0.327 0.679
V 0.296 0.414 0.172
V 0.452 0.192 0.492
V 0.454 0.209 0.853
V 0.831 0.529 0.358
V 0.837 0.554 0.991
H 0.483 0.672 0.675
H 0.526 0.951 0.338
H 0.543 0.958 0.101
H 0.756 0.759 0.579
H 0.762 0.770 0.761
H 0.791 0.066 0.193
O 0.071 0.212 0.136
O 0.106 0.172 0.822
O 0.140 0.189 0.537
O 0.149 0.527 0.316
O 0.150 0.561 0.044
O 0.261 0.509 0.685
O 0.417 0.033 0.960
O 0.423 0.987 0.412
O 0.489 0.378 0.999
O 0.495 0.333 0.327
O 0.556 0.144 0.680
O 0.660 0.778 0.671
O 0.683 0.943 0.166
O 0.714 0.582 0.175
O 0.782 0.377 0.522
O 0.797 0.399 0.830
O 0.848 0.713 0.444
O 0.860 0.757 0.918

Values from the calculation:
Polymorph energy (0 for the lowest one), eV per atom: 0.0174
Total moment, μB/f.u.: 2.00

=====

Entry 3:
The following is a PBE+U calculation of an optimized crystal structure of MgV6H6O18, from the Alexandria database.

Unit cell a=5.185 b=8.076 c=9.211 alpha=91.09 beta=90.73 gamma=106.79
Fractional coordinates of all 31 atoms:
Mg 0.000 0.000 0.000
V 0.016 0.281 0.671
V 0.277 0.415 0.170
V 0.459 0.181 0.480
V 0.460 0.212 0.845
V 0.823 0.529 0.377
V 0.828 0.549 0.970
H 0.539 0.939 0.078
H 0.565 0.937 0.668
H 0.654 0.971 0.239
H 0.659 0.782 0.764
H 0.662 0.769 0.585
H 0.684 0.726 0.179
O 0.058 0.135 0.812
O 0.064 0.218 0.134
O 0.113 0.148 0.521
O 0.140 0.565 0.040
O 0.143 0.543 0.318
O 0.319 0.419 0.696
O 0.410 0.038 0.958
O 0.485 0.018 0.379
O 0.492 0.353 0.334
O 0.497 0.386 0.999
O 0.563 0.114 0.664
O 0.565 0.805 0.672
O 0.680 0.915 0.144
O 0.698 0.604 0.180
O 0.811 0.363 0.524
O 0.816 0.390 0.815
O 0.819 0.705 0.469
O 0.834 0.750 0.908

Values from the calculation:
Polymorph energy (0 for the lowest one), eV per atom: 0.0000
Total moment, μB/f.u.: 2.00

=====

Entry 4:
The following is a PBE+U calculation of an optimized crystal structure of MgV6H6O18, from the Alexandria database.

Unit cell a=5.137 b=8.606 c=7.698 alpha=90.00 beta=102.48 gamma=90.00
Fractional coordinates of all 31 atoms:
Mg 0.000 0.000 0.000
V 0.204 0.210 0.684
V 0.204 0.790 0.684
V 0.287 0.304 0.320
V 0.287 0.696 0.320
V 0.699 0.000 0.601
V 0.783 0.500 0.404
H 0.468 0.000 0.901
H 0.655 0.093 0.177
H 0.655 0.907 0.177
H 0.671 0.408 0.908
H 0.671 0.592 0.908
H 0.927 0.500 0.057
O 0.049 0.338 0.503
O 0.049 0.662 0.503
O 0.100 0.500 0.234
O 0.125 0.180 0.167
O 0.125 0.820 0.167
O 0.389 0.000 0.770
O 0.391 0.311 0.844
O 0.391 0.689 0.844
O 0.426 0.167 0.512
O 0.426 0.833 0.512
O 0.545 0.500 0.523
O 0.582 0.334 0.248
O 0.582 0.666 0.248
O 0.647 0.000 0.100
O 0.798 0.500 0.928
O 0.895 0.000 0.456
O 0.924 0.148 0.776
O 0.924 0.852 0.776

Values from the calculation:
Polymorph energy (0 for the lowest one), eV per atom: 0.0018
Total moment, μB/f.u.: 2.00
N(E_F), states/eV/atom: 0.000

=====

Entry 5:
The following is a PBE+U calculation of an optimized crystal structure of MgV2HO6, from the Alexandria database.

Unit cell a=6.912 b=6.912 c=5.210 alpha=99.20 beta=99.20 gamma=82.73
Fractional coordinates of all 20 atoms:
Mg 0.119 0.881 0.750
Mg 0.881 0.119 0.250
V 0.144 0.373 0.862
V 0.373 0.144 0.362
V 0.627 0.856 0.638
V 0.856 0.627 0.138
H 0.125 0.875 0.250
H 0.875 0.125 0.750
O 0.009 0.809 0.355
O 0.058 0.629 0.876
O 0.191 0.991 0.145
O 0.312 0.340 0.611
O 0.340 0.312 0.111
O 0.371 0.942 0.624
O 0.629 0.058 0.376
O 0.660 0.688 0.889
O 0.688 0.660 0.389
O 0.809 0.009 0.855
O 0.942 0.371 0.124
O 0.991 0.191 0.645

Values from the calculation:
Total moment, μB/f.u.: 1.00
N(E_F), states/eV/atom: 0.007
Calculated total energy, eV per atom: -6.8135

=====

What is the total moment in the second record? 2.00 μB/f.u.

=====

Which value of total moment does entry 2 give? 2.00 μB/f.u.

=====

Please write out number 5 again, unchanged.
The following is a PBE+U calculation of an optimized crystal structure of MgV2HO6, from the Alexandria database.

Unit cell a=6.912 b=6.912 c=5.210 alpha=99.20 beta=99.20 gamma=82.73
Fractional coordinates of all 20 atoms:
Mg 0.119 0.881 0.750
Mg 0.881 0.119 0.250
V 0.144 0.373 0.862
V 0.373 0.144 0.362
V 0.627 0.856 0.638
V 0.856 0.627 0.138
H 0.125 0.875 0.250
H 0.875 0.125 0.750
O 0.009 0.809 0.355
O 0.058 0.629 0.876
O 0.191 0.991 0.145
O 0.312 0.340 0.611
O 0.340 0.312 0.111
O 0.371 0.942 0.624
O 0.629 0.058 0.376
O 0.660 0.688 0.889
O 0.688 0.660 0.389
O 0.809 0.009 0.855
O 0.942 0.371 0.124
O 0.991 0.191 0.645

Values from the calculation:
Total moment, μB/f.u.: 1.00
N(E_F), states/eV/atom: 0.007
Calculated total energy, eV per atom: -6.8135